No. 1
! CdAuN2O, relaxed, DFT PBEsol; values from VASP
! - magnetic moment (Bohr magnetons per cell) = 2.20
! - total energy (eV per atom) = -4.121
! - formation energy from raw total energies (eV/atom) = 1.36
&SYSTEM
  ibrav = 0, nat = 5, ntyp = 4
/
ATOMIC_SPECIES
Cd 112.41 Cd.upf
Au 196.97 Au.upf
N 14.01 N.upf
O 16.00 O.upf
CELL_PARAMETERS angstrom
3.937 0.000 0.000
0.000 3.937 0.000
0.000 0.000 4.287
ATOMIC_POSITIONS angstrom
Cd 0.000 0.000 0.000
Au 1.969 1.969 2.144
N 0.000 1.969 2.144
N 1.969 0.000 2.144
O 1.969 1.969 0.000

No. 2
! ZnNi2Pb, relaxed, DFT PBEsol; values from VASP
! - magnetic moment (Bohr magnetons per cell) = 0.00
! - formation energy from the elements (eV/atom) = 0.15
! - total energy (eV per atom) = -4.323
&SYSTEM
  ibrav = 0, nat = 4, ntyp = 3
/
ATOMIC_SPECIES
Zn 65.41 Zn.upf
Ni 58.69 Ni.upf
Pb 207.20 Pb.upf
CELL_PARAMETERS angstrom
3.172 0.000 0.000
0.000 3.172 0.000
0.000 0.000 5.983
ATOMIC_POSITIONS angstrom
Zn 0.000 0.000 0.000
Ni 0.000 0.000 2.357
Ni 1.586 1.586 1.009
Pb 1.586 1.586 3.847

No. 3
! NaSn2Au2, relaxed, DFT PBEsol; values from VASP
! - magnetic moment (Bohr magnetons per cell) = 0.00
! - formation energy from the elements (eV/atom) = -0.17
! - total energy (eV per atom) = -3.724
! - energy relative to the lowest polymorph listed for this composition (meV/atom) = 25
&SYSTEM
  ibrav = 0, nat = 5, ntyp = 3
/
ATOMIC_SPECIES
Na 22.99 Na.upf
Sn 118.71 Sn.upf
Au 196.97 Au.upf
CELL_PARAMETERS angstrom
-2.349 2.349 5.576
2.349 -2.349 5.576
2.349 2.349 -5.576
ATOMIC_POSITIONS angstrom
Na 0.000 0.000 0.000
Sn 2.349 0.000 2.788
Sn 0.000 2.349 2.788
Au 0.000 0.000 4.236
Au 0.000 0.000 6.916

No. 4
! CsPbBr3, relaxed, DFT PBEsol; values from VASP
! - magnetic moment (Bohr magnetons per cell) = 0.00
! - total energy (eV per atom) = -3.383
! - formation energy from raw total energies (eV/atom) = -1.27
&SYSTEM
  ibrav = 0, nat = 20, ntyp = 3
/
ATOMIC_SPECIES
Cs 132.91 Cs.upf
Pb 207.20 Pb.upf
Br 79.90 Br.upf
CELL_PARAMETERS angstrom
8.381 0.000 0.000
0.000 11.645 0.000
0.000 0.000 7.948
ATOMIC_POSITIONS angstrom
Cs 0.580 2.911 0.174
Cs 3.610 8.734 4.148
Cs 4.771 2.911 3.800
Cs 7.801 8.734 7.774
Pb 0.000 0.000 3.974
Pb 0.000 5.822 3.974
Pb 4.190 0.000 0.000
Pb 4.190 5.822 0.000
Br 0.077 8.734 3.400
Br 1.673 6.257 6.402
Br 1.673 11.211 6.402
Br 2.517 0.434 2.428
Br 2.517 5.388 2.428
Br 4.113 2.911 7.374
Br 4.268 8.734 0.574
Br 5.863 6.257 5.520
Br 5.863 11.211 5.520
Br 6.708 0.434 1.546
Br 6.708 5.388 1.546
Br 8.304 2.911 4.548

No. 5
! YHgN2F, relaxed, DFT PBEsol; values from VASP
! - magnetic moment (Bohr magnetons per cell) = 0.00
! - total energy (eV per atom) = -5.174
! - formation energy from raw total energies (eV/atom) = 0.10
&SYSTEM
  ibrav = 0, nat = 5, ntyp = 4
/
ATOMIC_SPECIES
Y 88.91 Y.upf
Hg 200.59 Hg.upf
N 14.01 N.upf
F 19.00 F.upf
CELL_PARAMETERS angstrom
4.112 0.000 0.000
0.000 4.112 0.000
0.000 0.000 4.342
ATOMIC_POSITIONS angstrom
Y 0.000 0.000 0.000
Hg 2.056 2.056 2.171
N 0.000 2.056 2.171
N 2.056 0.000 2.171
F 2.056 2.056 0.000

No. 6
! LiAg3, relaxed, DFT PBEsol; values from VASP
! - magnetic moment (Bohr magnetons per cell) = 0.00
! - formation energy from the elements (eV/atom) = -0.13
! - total energy (eV per atom) = -3.104
&SYSTEM
  ibrav = 0, nat = 8, ntyp = 2
/
ATOMIC_SPECIES
Li 6.94 Li.upf
Ag 107.87 Ag.upf
CELL_PARAMETERS angstrom
4.623 0.000 0.000
0.000 5.657 0.000
0.000 0.000 4.907
ATOMIC_POSITIONS angstrom
Li 1.156 1.414 0.813
Li 3.467 4.243 4.094
Ag 1.156 2.831 3.281
Ag 1.156 4.243 0.818
Ag 1.156 5.654 3.281
Ag 3.467 0.003 1.626
Ag 3.467 1.414 4.090
Ag 3.467 2.826 1.626

No. 7
! IrRuPt2, relaxed, DFT PBEsol; values from VASP
! - magnetic moment (Bohr magnetons per cell) = 0.00
! - formation energy from the elements (eV/atom) = 0.02
! - total energy (eV per atom) = -8.461
! - energy relative to the lowest polymorph listed for this composition (meV/atom) = 60
&SYSTEM
  ibrav = 0, nat = 4, ntyp = 3
/
ATOMIC_SPECIES
Ir 192.22 Ir.upf
Ru 101.07 Ru.upf
Pt 195.08 Pt.upf
CELL_PARAMETERS angstrom
4.521 -1.361 0.000
4.521 1.361 0.000
-0.806 0.000 4.649
ATOMIC_POSITIONS angstrom
Ir 0.000 0.000 0.000
Ru 1.709 0.000 3.587
Pt 4.169 0.000 2.388
Pt 6.591 0.000 1.210

No. 8
! MgMnRu2, relaxed, DFT PBEsol; values from VASP
! - magnetic moment (Bohr magnetons per cell) = 3.27
! - formation energy from the elements (eV/atom) = 0.34
! - total energy (eV per atom) = -7.620
&SYSTEM
  ibrav = 0, nat = 4, ntyp = 3
/
ATOMIC_SPECIES
Mg 24.30 Mg.upf
Mn 54.94 Mn.upf
Ru 101.07 Ru.upf
CELL_PARAMETERS angstrom
2.961 0.000 0.000
0.000 4.232 0.000
0.000 0.000 4.444
ATOMIC_POSITIONS angstrom
Mg 0.000 0.000 0.000
Mn 1.481 0.000 2.222
Ru 0.000 2.116 2.222
Ru 1.481 2.116 0.000

No. 9
! SiHgTe2I, relaxed, DFT PBEsol; values from VASP
! - magnetic moment (Bohr magnetons per cell) = 0.00
! - total energy (eV per atom) = -2.166
! - formation energy from raw total energies (eV/atom) = 0.86
&SYSTEM
  ibrav = 0, nat = 5, ntyp = 4
/
ATOMIC_SPECIES
Si 28.09 Si.upf
Hg 200.59 Hg.upf
Te 127.60 Te.upf
I 126.90 I.upf
CELL_PARAMETERS angstrom
5.525 0.000 0.000
0.000 5.525 0.000
0.000 0.000 5.558
ATOMIC_POSITIONS angstrom
Si 0.000 0.000 0.000
Hg 2.763 2.763 2.779
Te 0.000 2.763 2.779
Te 2.763 0.000 2.779
I 2.763 2.763 0.000

No. 10
! CaLa3Te, relaxed, DFT PBEsol; values from VASP
! - magnetic moment (Bohr magnetons per cell) = 0.00
! - total energy (eV per atom) = -4.599
! - formation energy from raw total energies (eV/atom) = -0.26
&SYSTEM
  ibrav = 0, nat = 5, ntyp = 3
/
ATOMIC_SPECIES
Ca 40.08 Ca.upf
La 138.91 La.upf
Te 127.60 Te.upf
CELL_PARAMETERS angstrom
6.000 0.000 0.000
0.000 6.000 0.000
0.000 0.000 6.000
ATOMIC_POSITIONS angstrom
Ca 0.000 0.000 0.000
La 0.000 3.000 3.000
La 3.000 0.000 3.000
La 3.000 3.000 0.000
Te 3.000 3.000 3.000

No. 11
! SrHfSb3, relaxed, DFT PBEsol; values from VASP
! - magnetic moment (Bohr magnetons per cell) = 0.30
! - total energy (eV per atom) = -3.927
! - formation energy from raw total energies (eV/atom) = 1.28
&SYSTEM
  ibrav = 0, nat = 5, ntyp = 3
/
ATOMIC_SPECIES
Sr 87.62 Sr.upf
Hf 178.49 Hf.upf
Sb 121.76 Sb.upf
CELL_PARAMETERS angstrom
5.615 0.000 0.000
0.000 5.615 0.000
0.000 0.000 5.615
ATOMIC_POSITIONS angstrom
Sr 0.000 0.000 0.000
Hf 2.808 2.808 2.808
Sb 0.000 0.000 2.808
Sb 0.000 2.808 0.000
Sb 2.808 0.000 0.000

No. 12
! Sr2ScIr, relaxed, DFT PBEsol; values from VASP
! - magnetic moment (Bohr magnetons per cell) = 0.00
! - formation energy from the elements (eV/atom) = -0.22
! - total energy (eV per atom) = -5.242
! - energy relative to the lowest polymorph listed for this composition (meV/atom) = 0
&SYSTEM
  ibrav = 0, nat = 4, ntyp = 3
/
ATOMIC_SPECIES
Sr 87.62 Sr.upf
Sc 44.96 Sc.upf
Ir 192.22 Ir.upf
CELL_PARAMETERS angstrom
3.803 -2.192 0.000
3.803 2.192 0.000
-2.508 0.000 8.279
ATOMIC_POSITIONS angstrom
Sr 0.000 0.000 0.000
Sr -0.001 0.000 4.532
Sc 5.072 0.000 2.263
Ir 2.537 0.000 2.264

No. 13
! Ba5In3, relaxed, DFT PBEsol; values from VASP
! - magnetic moment (Bohr magnetons per cell) = 0.00
! - formation energy from the elements (eV/atom) = -0.27
! - total energy (eV per atom) = -2.736
&SYSTEM
  ibrav = 0, nat = 8, ntyp = 2
/
ATOMIC_SPECIES
Ba 137.33 Ba.upf
In 114.82 In.upf
CELL_PARAMETERS angstrom
4.421 -6.002 0.000
4.421 6.002 0.000
0.000 0.000 5.960
ATOMIC_POSITIONS angstrom
Ba 0.000 0.000 0.000
Ba 2.210 3.001 0.000
Ba 2.564 0.000 2.980
Ba 2.210 -3.001 0.000
Ba 6.277 0.000 2.980
In 4.421 3.332 2.980
In 4.421 0.000 0.000
In 4.421 -3.332 2.980